Density functional theory data (PBE) for a relaxed structure of Y6In2Hg.

Properties
crystal system = monoclinic
formation enthalpy at 0 K = -2.362 eV per formula unit
magnetization = 0.000 μB/atom

Cell and atoms, written as extended XYZ:
```
18
Lattice="6.0656 0.0000 0.0000 0.0000 8.9798 0.0000 -5.2479 0.0000 9.7745" Properties=species:S:1:pos:R:3 pbc="T T T"
Y -2.1049 1.5096 4.2403
Y -4.7288 2.9803 9.1276
Y -0.0438 6.0701 4.2815
Y -2.6678 7.3995 9.1687
Y 0.8342 0.2309 2.9546
Y -1.7897 4.2590 7.8418
Y 2.6075 4.7207 1.9327
Y -0.0165 8.7489 6.8200
Y 3.4855 1.5803 0.6058
Y 0.8616 2.9096 5.4930
Y 5.5466 5.9994 0.6469
Y 2.9226 7.4702 5.5342
In -2.8713 1.1946 7.3194
In -0.2473 3.2953 2.4321
In 1.0651 5.6844 7.3424
In 3.6890 7.7852 2.4552
Hg 0.0000 0.0000 0.0000
Hg -2.6239 4.4899 4.8873
```